No. 1
## Nb8VOs2 (PBE)

Data for crystalline Nb8VOs2 at its relaxed geometry.

```
Nb8VOs2
1.0
5.2682 0.1058 0.0803
0.3103 7.2480 2.1845
0.3103 4.0555 6.3921
Nb V Os
8 1 2
direct
0.3683 0.3433 0.8460
0.1184 0.4174 0.4174
0.6317 0.6567 0.1540
0.6317 0.1540 0.6567
0.8816 0.5826 0.5826
0.3683 0.8460 0.3433
0.1100 0.7889 0.7889
0.8900 0.2111 0.2111
0.0000 0.0000 0.0000
0.3875 0.2595 0.2595
0.6125 0.7405 0.7405
```

Results
Space-group type: No. 12
Calculated volume (A^3/atom): 17.926

***

No. 2
## Nb2V2Os (PBE)

Data for crystalline Nb2V2Os at its relaxed geometry.

```
Nb2V2Os
1.0
4.2854 0.0000 -1.2584
-0.5726 10.2011 -1.9500
-1.1112 -1.2202 4.1418
V Nb Os
4 4 2
direct
0.1946 0.5415 0.3892
0.8054 0.9585 0.6108
0.8054 0.4585 0.6108
0.1946 0.0415 0.3892
0.6006 0.1509 0.2013
0.6006 0.6509 0.2013
0.3994 0.3491 0.7987
0.3994 0.8491 0.7987
0.0000 0.2500 0.0000
0.0000 0.7500 0.0000
```

Results
Space-group type: No. 12
Calculated volume (A^3/atom): 15.572
Energy relative to the lowest polymorph listed for this composition (kJ/mol of atoms): 0.0

***

No. 3
## Nb3VOs (PBE)

Data for crystalline Nb3VOs at its relaxed geometry.

```
Nb3VOs
1.0
6.3639 -0.1839 -0.1496
-0.0995 7.7014 1.0172
-0.0995 2.5596 7.3345
Nb V Os
12 4 4
direct
0.5597 0.6994 0.5996
0.0846 0.1802 0.6944
0.5846 0.6944 0.1802
0.9572 0.7442 0.9434
0.0428 0.2558 0.0566
0.9154 0.8198 0.3056
0.5428 0.0566 0.2558
0.4403 0.3006 0.4004
0.4154 0.3056 0.8198
0.9403 0.4004 0.3006
0.4572 0.9434 0.7442
0.0597 0.5996 0.6994
0.1758 0.9889 0.4395
0.8242 0.0111 0.5605
0.3242 0.5605 0.0111
0.6758 0.4395 0.9889
0.2500 0.5892 0.4108
0.7500 0.0689 0.9311
0.7500 0.4108 0.5892
0.2500 0.9311 0.0689
```

Results
Space-group type: No. 15
Calculated volume (A^3/atom): 17.136
Energy relative to the lowest polymorph listed for this composition (kJ/mol of atoms): 0.0

***

No. 4
## NbVOs (PBE)

Data for crystalline NbVOs at its relaxed geometry.

```
NbVOs
1.0
-2.1399 -1.7966 -0.9805
4.4589 -2.8269 -4.5517
2.4349 -6.3563 6.3330
Os Nb V
4 4 4
direct
0.7500 0.2730 0.6442
0.2500 0.7730 0.8558
0.2500 0.7270 0.3558
0.7500 0.2270 0.1442
0.7500 0.8502 0.1050
0.2500 0.1498 0.8950
0.2500 0.3502 0.3950
0.7500 0.6498 0.6050
0.2500 0.5116 0.1167
0.2500 0.9884 0.6167
0.7500 0.4884 0.8833
0.7500 0.0116 0.3833
```

Results
Space-group type: No. 62
Calculated volume (A^3/atom): 15.992
Energy relative to the lowest polymorph listed for this composition (kJ/mol of atoms): 25.0

***

No. 5
## NbV2Os2 (PBE)

Data for crystalline NbV2Os2 at its relaxed geometry.

```
NbV2Os2
1.0
-0.5517 -1.4573 -7.0918
0.3879 -7.1081 1.4305
-2.8401 -0.1061 0.2427
Nb V Os
2 4 4
direct
0.0000 0.0000 0.0000
0.5000 0.5000 0.0000
0.8523 0.6477 0.0000
0.1477 0.3523 0.0000
0.3523 0.8523 0.0000
0.6477 0.1477 0.0000
0.6516 0.8484 0.5000
0.8484 0.3484 0.5000
0.3484 0.1516 0.5000
0.1516 0.6516 0.5000
```

Results
Space-group type: No. 127
Calculated volume (A^3/atom): 15.038
Energy relative to the lowest polymorph listed for this composition (kJ/mol of atoms): 0.0

***

No. 6
## NbVOs (PBE)

Data for crystalline NbVOs at its relaxed geometry.

```
NbVOs
1.0
3.1139 0.0000 0.0000
0.0000 3.1139 0.0000
-1.5569 -1.5569 4.7349
Nb V Os
1 1 1
direct
0.2810 0.2810 0.5620
0.6132 0.6132 0.2264
0.9558 0.9558 0.9116
```

Results
Space-group type: No. 107
Calculated volume (A^3/atom): 15.303
Energy relative to the lowest polymorph listed for this composition (kJ/mol of atoms): 4.2

***

No. 7
## NbV2Os2 (PBE)

Data for crystalline NbV2Os2 at its relaxed geometry.

```
NbV2Os2
1.0
4.0000 0.0000 0.0000
0.0000 4.0000 0.0000
2.0000 2.0000 5.2182
V Os Nb
2 2 1
direct
0.7500 0.2500 0.5000
0.2500 0.7500 0.5000
0.6172 0.6172 0.7655
0.3828 0.3828 0.2345
0.0000 0.0000 0.0000
```

Results
Space-group type: No. 139
Calculated volume (A^3/atom): 16.698
Energy relative to the lowest polymorph listed for this composition (kJ/mol of atoms): 23.8

***

No. 8
## NbV2Os3 (PBE)

Data for crystalline NbV2Os3 at its relaxed geometry.

```
NbV2Os3
1.0
-0.1363 2.3362 -1.8274
1.1898 -1.6327 -2.1759
-9.1584 -2.8051 -2.9031
Os Nb V
3 1 2
direct
0.0000 0.0000 0.0000
0.0000 0.0000 0.3006
0.0000 0.0000 0.6994
0.5000 0.5000 0.5000
0.5000 0.5000 0.8412
0.5000 0.5000 0.1588
```

Results
Space-group type: No. 123
Calculated volume (A^3/atom): 14.705

***

No. 9
## Nb3VOs (PBE)

Data for crystalline Nb3VOs at its relaxed geometry.

```
Nb3VOs
1.0
-2.7247 2.1771 -2.1314
-2.5115 2.7723 6.0424
2.7835 6.0086 2.5793
Nb V Os
6 2 2
direct
0.7500 0.6855 0.9129
0.2500 0.5984 0.3145
0.7500 0.4016 0.6855
0.2500 0.0871 0.5984
0.2500 0.3145 0.0871
0.7500 0.9129 0.4016
0.7500 0.0000 0.0000
0.2500 0.0000 0.0000
0.7500 0.3333 0.3333
0.2500 0.6667 0.6667
```

Results
Space-group type: No. 176
Calculated volume (A^3/atom): 17.877
Energy relative to the lowest polymorph listed for this composition (kJ/mol of atoms): 20.1

***

No. 10
## Nb3VOs (PBE)

Data for crystalline Nb3VOs at its relaxed geometry.

```
Nb3VOs
1.0
-2.5242 -3.5140 -1.4067
3.2528 -2.8784 1.3535
-1.9354 -0.2548 4.1094
Os V Nb
1 1 3
direct
0.5000 0.5000 0.5000
0.0000 0.0000 0.0000
0.0000 0.0000 0.5000
0.0000 0.5000 0.0000
0.5000 0.0000 0.0000
```

Results
Space-group type: No. 221
Calculated volume (A^3/atom): 18.833
Energy relative to the lowest polymorph listed for this composition (kJ/mol of atoms): 102.9

***

No. 11
## NbV3Os (PBE)

Data for crystalline NbV3Os at its relaxed geometry.

```
NbV3Os
1.0
-3.1970 3.0353 2.6134
-2.6300 -4.0786 1.5197
3.4053 -0.4688 4.6350
V Os Nb
6 2 2
direct
0.1393 0.4962 0.1758
0.8607 0.5038 0.8242
0.8607 0.9962 0.8242
0.1295 0.7500 0.5436
0.8705 0.2500 0.4564
0.1393 0.0038 0.1758
0.5828 0.2500 0.1137
0.4172 0.7500 0.8863
0.3637 0.2500 0.6460
0.6363 0.7500 0.3540
```

Results
Space-group type: No. 11
Calculated volume (A^3/atom): 15.039
Energy relative to the lowest polymorph listed for this composition (kJ/mol of atoms): 24.5

***

No. 12
## Nb2V2Os (PBE)

Data for crystalline Nb2V2Os at its relaxed geometry.

```
Nb2V2Os
1.0
6.2638 0.0000 0.0000
0.0000 6.2638 0.0000
0.0000 0.0000 4.1706
Nb Os V
4 2 4
direct
0.3257 0.1743 0.5000
0.6743 0.8257 0.5000
0.1743 0.6743 0.5000
0.8257 0.3257 0.5000
0.0000 0.0000 0.0000
0.5000 0.5000 0.0000
0.1418 0.3582 0.0000
0.3582 0.8582 0.0000
0.8582 0.6418 0.0000
0.6418 0.1418 0.0000
```

Results
Space-group type: No. 127
Calculated volume (A^3/atom): 16.364
Energy relative to the lowest polymorph listed for this composition (kJ/mol of atoms): 31.2

***

No. 13
## NbVOs2 (PBE)

Data for crystalline NbVOs2 at its relaxed geometry.

```
NbVOs2
1.0
3.1504 0.0000 0.0000
0.0000 4.3876 0.0000
0.0000 0.0000 4.3876
V Os Nb
1 2 1
direct
0.5000 0.5000 0.5000
0.0000 0.0000 0.5000
0.0000 0.5000 0.0000
0.5000 0.0000 0.0000
```

Results
Space-group type: No. 123
Calculated volume (A^3/atom): 15.162

***

No. 14
## Nb5VOs (PBE)

Data for crystalline Nb5VOs at its relaxed geometry.

```
Nb5VOs
1.0
-2.5038 -0.9891 4.5369
-4.0314 -0.9589 -3.2649
4.0711 -8.3154 -0.8293
Nb V Os
10 2 2
direct
0.5001 0.2428 0.9978
0.2428 0.5001 0.4978
0.9963 0.4226 0.8364
0.4226 0.9963 0.3364
0.1041 0.8959 0.7500
0.5774 0.0037 0.6636
0.4999 0.7572 0.0022
0.8959 0.1041 0.2500
0.7572 0.4999 0.5022
0.0037 0.5774 0.1636
0.0000 0.0000 0.5000
0.0000 0.0000 0.0000
0.5044 0.4956 0.7500
0.4956 0.5044 0.2500
```

Results
Space-group type: No. 15
Calculated volume (A^3/atom): 18.017

***

No. 15
## NbV3Os (PBE)

Data for crystalline NbV3Os at its relaxed geometry.

```
NbV3Os
1.0
-0.8028 4.1904 3.1962
0.2606 -0.4451 5.0766
6.1428 1.4971 2.6122
V Nb Os
6 2 2
direct
0.5492 0.7966 0.4057
0.8515 0.6052 0.7866
0.1485 0.3948 0.2134
0.9561 0.2006 0.5944
0.4508 0.2034 0.5943
0.0439 0.7994 0.4056
0.2500 0.9990 0.0026
0.7500 0.0010 0.9974
0.3479 0.6050 0.7895
0.6521 0.3950 0.2105
```

Results
Space-group type: No. 2
Calculated volume (A^3/atom): 14.484
Energy relative to the lowest polymorph listed for this composition (kJ/mol of atoms): 0.0

***

No. 16
## NbV3Os (PBE)

Data for crystalline NbV3Os at its relaxed geometry.

```
NbV3Os
1.0
4.4627 0.0000 0.0000
0.0000 4.4627 0.0000
0.0000 0.0000 4.4627
V Os Nb
3 1 1
direct
0.0000 0.5000 0.0000
0.0000 0.0000 0.5000
0.5000 0.0000 0.0000
0.5000 0.5000 0.5000
0.0000 0.0000 0.0000
```

Results
Space-group type: No. 221
Calculated volume (A^3/atom): 17.776
Energy relative to the lowest polymorph listed for this composition (kJ/mol of atoms): 192.1

***

No. 17
## NbV4Os5 (PBE)

Data for crystalline NbV4Os5 at its relaxed geometry.

```
NbV4Os5
1.0
2.9821 0.0000 0.0000
0.0000 2.9821 0.0000
0.0000 0.0000 16.1428
Os V Nb
5 4 1
direct
0.5000 0.5000 0.6892
0.5000 0.5000 0.3108
0.5000 0.5000 0.5000
0.5000 0.5000 0.1246
0.5000 0.5000 0.8754
0.0000 0.0000 0.4044
0.0000 0.0000 0.2105
0.0000 0.0000 0.5956
0.0000 0.0000 0.7895
0.0000 0.0000 0.0000
```

Results
Space-group type: No. 123
Calculated volume (A^3/atom): 14.356

***

No. 18
## NbVOs (PBE)

Data for crystalline NbVOs at its relaxed geometry.

```
NbVOs
1.0
-2.3108 -1.4058 -0.6969
2.3419 -3.6422 -0.4184
-1.7756 1.0152 3.8395
Nb V Os
1 1 1
direct
0.3288 0.6667 0.3333
0.9965 0.0000 0.0000
0.6747 0.3333 0.6667
```

Results
Space-group type: No. 156
Calculated volume (A^3/atom): 15.260
Energy relative to the lowest polymorph listed for this composition (kJ/mol of atoms): 7.4

***

No. 19
## NbV6Os5 (PBE)

Data for crystalline NbV6Os5 at its relaxed geometry.

```
NbV6Os5
1.0
4.2085 0.0018 -0.8811
-0.0027 6.0744 -0.0006
-0.7872 0.0004 6.7609
V Os Nb
6 5 1
direct
0.1659 0.7512 0.3323
0.8341 0.2488 0.6677
0.5000 0.7493 0.0000
0.1659 0.2488 0.3323
0.5000 0.2507 0.0000
0.8341 0.7512 0.6677
0.0000 0.5000 0.0000
0.6672 0.5000 0.3345
0.6682 0.0000 0.3367
0.3318 0.0000 0.6633
0.3328 0.5000 0.6655
0.0000 0.0000 0.0000
```

Results
Space-group type: No. 65
Calculated volume (A^3/atom): 14.052

***

No. 20
## Nb4VOs (PBE)

Data for crystalline Nb4VOs at its relaxed geometry.

```
Nb4VOs
1.0
4.3585 0.0001 -0.0006
-0.0001 4.3587 -0.0003
0.0041 0.0071 6.1727
Nb Os V
4 1 1
direct
0.5012 0.9971 0.2536
0.0012 0.4971 0.2536
0.0014 0.4975 0.7427
0.5014 0.9975 0.7427
0.5013 0.4973 0.9981
0.0013 0.9973 0.4982
```

Results
Space-group type: No. 12
Calculated volume (A^3/atom): 19.544

***

no.,DFT formation energy (meV/atom)
1,72
2,-200
3,159
4,-6
5,-83
6,-222
7,164
8,-243
9,366
10,1225
11,26
12,123
13,-116
14,279
15,-227
16,1763
17,-245
18,-188
19,-272
20,423